DFT (PBE-GGA) results for CoMoW after structural relaxation.

Lattice parameters (Å, degrees): 6.235 6.235 6.235 155.26 155.26 35.27
Fractional coordinates of all 3 atoms:
Co 0.000 0.000 0.000
Mo 0.346 0.346 0.000
W 0.653 0.653 0.000

Output
- volume (Å³/atom) = 14.13
- formation energy from the elements (eV per atom) = 0.08
- symmetry = No. 107
- ΔE to the lowest computed polymorph (eV per atom) = 0.073